# 1
! Pu2GeP PBE-GGA relaxed; values from VASP
! **Size of the total moment**: 2.754 μB/atom
! **DOS at the Fermi energy**: 4.295 states/eV/atom
! **Calculated formation energy**: -74 kJ/mol of atoms
! **Symmetry**: Cmcm, No. 63
! **ΔE to the lowest computed polymorph**: 0.0000 eV/atom
&SYSTEM
  ibrav = 0, nat = 8, ntyp = 3
/
ATOMIC_SPECIES
Pu 244.00 Pu.upf
Ge 72.64 Ge.upf
P 30.97 P.upf
CELL_PARAMETERS angstrom
2.102 -11.163 0.000
2.102 11.163 0.000
0.000 0.000 4.010
ATOMIC_POSITIONS angstrom
Pu 2.102 9.666 3.008
Pu 2.102 4.135 3.008
Pu 2.102 -4.135 1.003
Pu 2.102 -9.666 1.003
Ge 2.102 0.861 3.008
Ge 2.102 -0.861 1.003
P 2.102 6.920 3.008
P 2.102 -6.920 1.003

---

# 2
! Dy3Tm2Cd PBE-GGA relaxed; values from VASP
! **Size of the total moment**: 0.000 μB/atom
! **DOS at the Fermi energy**: 1.420 states/eV/atom
! **Calculated formation energy**: -8 kJ/mol of atoms
! **Symmetry**: P4/mmm, No. 123
! **ΔE to the lowest computed polymorph**: 0.0000 eV/atom
&SYSTEM
  ibrav = 0, nat = 6, ntyp = 3
/
ATOMIC_SPECIES
Dy 162.50 Dy.upf
Tm 168.93 Tm.upf
Cd 112.41 Cd.upf
CELL_PARAMETERS angstrom
3.538 0.000 0.000
0.000 3.538 0.000
0.000 0.000 14.063
ATOMIC_POSITIONS angstrom
Dy 0.000 0.000 0.000
Dy 0.000 0.000 4.931
Dy 0.000 0.000 9.132
Tm 1.769 1.769 2.463
Tm 1.769 1.769 11.600
Cd 1.769 1.769 7.031

---

# 3
! Pm5BS4 PBE-GGA relaxed; values from VASP
! **Size of the total moment**: 0.000 μB/atom
! **DOS at the Fermi energy**: 0.318 states/eV/atom
! **Energy**: -63.891 eV/cell
! **Symmetry**: I4/m, No. 87
&SYSTEM
  ibrav = 0, nat = 10, ntyp = 3
/
ATOMIC_SPECIES
Pm 145.00 Pm.upf
B 10.81 B.upf
S 32.06 S.upf
CELL_PARAMETERS angstrom
-4.506 4.506 2.839
4.506 -4.506 2.839
4.506 4.506 -2.839
ATOMIC_POSITIONS angstrom
Pm 0.000 0.000 0.000
Pm 3.660 1.947 0.000
Pm 2.558 -0.845 2.839
Pm 1.947 5.351 0.000
Pm 0.845 2.558 2.839
B 0.000 0.000 2.839
S 6.294 0.874 0.000
S 0.874 2.717 0.000
S 3.631 1.788 2.839
S -1.788 3.631 2.839

---

# 4
! Sm4Er9Tm11 PBE-GGA relaxed; values from VASP
! **Size of the total moment**: 0.000 μB/atom
! **DOS at the Fermi energy**: 1.453 states/eV/atom
! **Calculated formation energy**: 6 kJ/mol of atoms
! **Symmetry**: Cmmm, No. 65
&SYSTEM
  ibrav = 0, nat = 24, ntyp = 3
/
ATOMIC_SPECIES
Sm 150.36 Sm.upf
Er 167.26 Er.upf
Tm 168.93 Tm.upf
CELL_PARAMETERS angstrom
10.117 -10.477 0.000
10.117 10.477 0.000
0.000 0.000 3.494
ATOMIC_POSITIONS angstrom
Sm 2.741 1.802 0.000
Sm 2.741 -1.802 0.000
Sm 17.493 1.802 0.000
Sm 17.493 -1.802 0.000
Er 0.000 0.000 0.000
Er 7.617 5.290 0.000
Er 7.662 1.776 0.000
Er 12.617 5.290 0.000
Er 7.662 -1.776 0.000
Er 12.572 1.776 0.000
Er 7.617 -5.290 0.000
Er 12.572 -1.776 0.000
Er 12.617 -5.290 0.000
Tm 5.137 3.531 1.747
Tm 10.117 7.154 1.747
Tm 5.232 0.000 1.747
Tm 10.117 3.541 1.747
Tm 5.137 -3.531 1.747
Tm 10.117 0.000 1.747
Tm 15.097 3.531 1.747
Tm 10.117 -3.541 1.747
Tm 15.003 0.000 1.747
Tm 10.117 -7.154 1.747
Tm 15.097 -3.531 1.747

---

# 5
! CsBaHg12 PBE-GGA relaxed; values from VASP
! **Size of the total moment**: 0.000 μB/atom
! **DOS at the Fermi energy**: 0.574 states/eV/atom
! **Calculated formation energy**: 12 kJ/mol of atoms
! **Symmetry**: P4/mmm, No. 123
&SYSTEM
  ibrav = 0, nat = 14, ntyp = 3
/
ATOMIC_SPECIES
Cs 132.91 Cs.upf
Ba 137.33 Ba.upf
Hg 200.59 Hg.upf
CELL_PARAMETERS angstrom
7.000 0.000 0.000
0.000 7.000 0.000
0.000 0.000 14.574
ATOMIC_POSITIONS angstrom
Cs 0.000 0.000 0.000
Ba 0.000 0.000 7.287
Hg 1.374 3.500 3.712
Hg 1.374 3.500 10.862
Hg 3.500 1.374 3.712
Hg 3.500 1.374 10.862
Hg 3.500 3.500 1.414
Hg 3.500 3.500 5.922
Hg 3.500 3.500 8.652
Hg 3.500 3.500 13.160
Hg 3.500 5.625 3.712
Hg 3.500 5.625 10.862
Hg 5.625 3.500 3.712
Hg 5.625 3.500 10.862

---

# 6
! GeICl2 PBE-GGA relaxed; values from VASP
! **Size of the total moment**: 0.000 μB/atom
! **DOS at the Fermi energy**: 0.508 states/eV/atom
! **Symmetry**: R-3m, No. 166
! **ΔE to the lowest computed polymorph**: 0.0000 eV/atom
&SYSTEM
  ibrav = 0, nat = 4, ntyp = 3
/
ATOMIC_SPECIES
Ge 72.64 Ge.upf
I 126.90 I.upf
Cl 35.45 Cl.upf
CELL_PARAMETERS angstrom
1.860 1.074 12.319
-1.860 1.074 12.319
0.000 -2.148 12.319
ATOMIC_POSITIONS angstrom
Ge 0.000 0.000 0.000
I 0.000 0.000 18.478
Cl 0.000 0.000 13.909
Cl 0.000 0.000 23.047

---

# 7
! KYMn PBE-GGA relaxed; values from VASP
! **Size of the total moment**: 1.014 μB/atom
! **DOS at the Fermi energy**: 0.951 states/eV/atom
! **Calculated formation energy**: 52 kJ/mol of atoms
! **Symmetry**: I4mm, No. 107
! **ΔE to the lowest computed polymorph**: 0.0000 eV/atom
&SYSTEM
  ibrav = 0, nat = 3, ntyp = 3
/
ATOMIC_SPECIES
K 39.10 K.upf
Y 88.91 Y.upf
Mn 54.94 Mn.upf
CELL_PARAMETERS angstrom
-1.760 1.760 7.936
1.760 -1.760 7.936
1.760 1.760 -7.936
ATOMIC_POSITIONS angstrom
K 0.000 0.000 0.000
Y 0.000 0.000 4.357
Mn 0.000 0.000 10.615

---

# 8
! NdPaGa5 PBE-GGA relaxed; values from VASP
! **Size of the total moment**: 0.000 μB/atom
! **DOS at the Fermi energy**: 0.666 states/eV/atom
! **Calculated formation energy**: -11 kJ/mol of atoms
! **Symmetry**: P4/mmm, No. 123
&SYSTEM
  ibrav = 0, nat = 7, ntyp = 3
/
ATOMIC_SPECIES
Nd 144.24 Nd.upf
Pa 231.04 Pa.upf
Ga 69.72 Ga.upf
CELL_PARAMETERS angstrom
4.897 0.000 0.000
0.000 4.897 0.000
0.000 0.000 6.701
ATOMIC_POSITIONS angstrom
Nd 0.000 0.000 0.000
Pa 2.449 2.449 3.350
Ga 0.000 2.449 1.759
Ga 0.000 2.449 4.942
Ga 2.449 0.000 1.759
Ga 2.449 0.000 4.942
Ga 2.449 2.449 0.000